# In2NiP (PBE, optimized geometry)
data_In2NiP
_symmetry_space_group_name_H-M 'P 1'
_symmetry_Int_Tables_number 1
_cell_length_a 5.796
_cell_length_b 5.796
_cell_length_c 5.796
_cell_angle_alpha 141.21
_cell_angle_beta 141.21
_cell_angle_gamma 56.03
loop_
_symmetry_equiv_pos_as_xyz
'x,y,z'
loop_
_atom_site_label
_atom_site_fract_x
_atom_site_fract_y
_atom_site_fract_z
Ni1 0.500 0.500 0.000
In1 0.000 0.000 0.000
P1 0.750 0.250 0.500
In2 0.250 0.750 0.500
# Total magnetic moment ... 0.00 μB per atom
# ΔE_f ... 1.21 eV/f.u.
# Calculated volume ... 75.8 Å³/f.u.
# Calculated total energy ... -3.8644 eV/atom